Entry w
A plane-wave DFT calculation with GGA-PBE was carried out for a geometry-optimized CeSc2H structure.

Computed properties:
M_tot: 0.0000 μB per atom

The structure in POSCAR format:
```
CeSc2H
1.0
3.0327 0.0000 0.0000
0.0000 3.0327 0.0000
0.0000 0.0000 8.2242
Ce Sc H
1 2 1
Direct
0.0000 0.0000 0.0000 Ce
0.5000 0.5000 0.3192 Sc
0.5000 0.5000 0.6808 Sc
0.0000 0.0000 0.5000 H
```

Entry x
A plane-wave DFT calculation with GGA-PBE was carried out for a geometry-optimized CeSc2H structure.

Computed properties:
M_tot: 0.0000 μB per atom

The structure in POSCAR format:
```
CeSc2H
1.0
1.5759 0.9098 8.7125
-1.5759 0.9098 8.7125
0.0000 -1.8197 8.7125
Ce Sc H
1 2 1
Direct
0.0000 0.0000 0.0000 Ce
0.1186 0.1186 0.1186 Sc
0.8814 0.8814 0.8814 Sc
0.5000 0.5000 0.5000 H
```

Most stable of them? entry x.

Entry w
A plane-wave DFT calculation with GGA-PBE was carried out for a geometry-optimized Ce2HSe structure.

Computed properties:
M_tot: 0.7365 μB per atom

The structure in POSCAR format:
```
Ce2HSe
1.0
1.9361 1.1178 6.7225
-1.9361 1.1178 6.7225
0.0000 -2.2356 6.7225
Ce H Se
2 1 1
Direct
0.2395 0.2395 0.2395 Ce
0.7605 0.7605 0.7605 Ce
0.5000 0.5000 0.5000 H
0.0000 0.0000 0.0000 Se
```

Entry x
A plane-wave DFT calculation with GGA-PBE was carried out for a geometry-optimized Ce2HSe structure.

Computed properties:
M_tot: 0.6013 μB per atom

The structure in POSCAR format:
```
Ce2HSe
1.0
1.9314 1.1151 6.6095
-1.9314 1.1151 6.6095
0.0000 -2.2301 6.6095
Ce H Se
2 1 1
Direct
0.0000 0.0000 0.0000 Ce
0.1401 0.1401 0.1401 Ce
0.7425 0.7425 0.7425 H
0.5698 0.5698 0.5698 Se
```

Most stable of them? entry w.

Entry w
A plane-wave DFT calculation with GGA-PBE was carried out for a geometry-optimized CeSiH2 structure.

Computed properties:
M_tot: 0.0001 μB per atom

The structure in POSCAR format:
```
CeSiH2
1.0
7.6821 0.0000 0.0000
0.0000 4.3946 0.0000
0.0000 0.0000 5.9263
Ce Si H
4 4 8
Direct
0.1871 0.2500 0.1469 Ce
0.3129 0.7500 0.6469 Ce
0.6871 0.2500 0.3531 Ce
0.8129 0.7500 0.8531 Ce
0.0304 0.2500 0.6194 Si
0.4696 0.7500 0.1194 Si
0.5304 0.2500 0.8806 Si
0.9696 0.7500 0.3806 Si
0.0831 0.5144 0.8308 H
0.0831 0.9856 0.8308 H
0.4169 0.0144 0.3308 H
0.4169 0.4856 0.3308 H
0.5831 0.5144 0.6692 H
0.5831 0.9856 0.6692 H
0.9169 0.0144 0.1692 H
0.9169 0.4856 0.1692 H
```

Entry x
A plane-wave DFT calculation with GGA-PBE was carried out for a geometry-optimized CeSiH2 structure.

Computed properties:
M_tot: 0.0000 μB per atom

The structure in POSCAR format:
```
CeSiH2
1.0
2.0753 1.1982 3.4934
-2.0753 1.1982 3.4934
0.0000 -2.3964 3.4934
Ce Si H
1 1 2
Direct
0.0000 0.0000 0.0000 Ce
0.5000 0.5000 0.5000 Si
0.3309 0.3309 0.3309 H
0.6691 0.6691 0.6691 H
```

Entry y
A plane-wave DFT calculation with GGA-PBE was carried out for a geometry-optimized CeSiH2 structure.

Computed properties:
M_tot: 0.1428 μB per atom

The structure in POSCAR format:
```
CeSiH2
1.0
4.2022 0.0000 0.0000
0.0000 4.0776 0.0000
-2.0759 0.0000 5.6654
Ce Si H
2 2 4
Direct
0.1484 0.2500 0.2967 Ce
0.8516 0.7500 0.7033 Ce
0.4327 0.2500 0.8775 Si
0.5673 0.7500 0.1225 Si
0.1331 0.7500 0.1026 H
0.2501 0.7500 0.5008 H
0.7499 0.2500 0.4992 H
0.8669 0.2500 0.8974 H
```

Most stable of them? entry y.